Ce2DyTe4 | PBE | optimized geometry

Properties
Uncorrected formation energy, eV per atom: -1.30
SG: Cmcm, No. 63

a = 7.6962 Å, b = 7.6962 Å, c = 15.3163 Å
α = 90.00°, β = 90.00°, γ = 147.72°
Sites, in units of the cell vectors:
Ce1 0.1353 0.8647 0.5698
Ce2 0.1353 0.8647 0.9302
Ce3 0.8647 0.1353 0.0698
Ce4 0.8647 0.1353 0.4302
Dy1 0.3762 0.6238 0.7500
Dy2 0.6238 0.3762 0.2500
Te1 0.0283 0.9717 0.7500
Te2 0.2165 0.7835 0.1270
Te3 0.2165 0.7835 0.3730
Te4 0.5000 0.5000 0.0000
Te5 0.5000 0.5000 0.5000
Te6 0.7835 0.2165 0.6270
Te7 0.7835 0.2165 0.8730
Te8 0.9717 0.0283 0.2500